Arrangement A

# BeOsOF2

BeOsOF2 after structural relaxation (PBE, the Alexandria database).

Values from the calculation:
magnetic moment: 2.4 Bohr magnetons per cell
crystal system: tetragonal
space group: P4/mmm (123)

Cell: 3.100 3.100 6.990 Å, 90.00 90.00 90.00°
Each line ends with the local moment (μB).
Atoms (fractional coordinates):
O: 0.000 0.000 0.500  0.19
Be: 0.000 0.000 0.000  0.00
F: 0.000 0.500 0.000  0.00
F: 0.500 0.000 0.000  0.00
Os: 0.500 0.500 0.500  2.07

Arrangement B

# BeOsOF2

BeOsOF2 after structural relaxation (PBE, the Alexandria database).

Values from the calculation:
magnetic moment: 0.6 Bohr magnetons per cell
crystal system: tetragonal
space group: P4/mmm (123)

Cell: 4.359 4.359 3.693 Å, 90.00 90.00 90.00°
Each line ends with the local moment (μB).
Atoms (fractional coordinates):
O: 0.000 0.000 0.500  0.02
Os: 0.000 0.000 0.000  0.04
F: 0.500 0.000 0.000  0.02
F: 0.000 0.500 0.000  0.02
Be: 0.500 0.500 0.500  0.20

Which one is most stable, and which one is least stable? arrangement A is the most stable of them, while arrangement B is the least stable.